Compound: Tl2RhBr
Source: Alexandria via LeMat-Bulk
Functional: GGA-PBEsol
Structure: relaxed

* electronic total energy: -3.82 eV per atom
* ΔE_f (raw): 0.00 kJ/mol of atoms
* N(E_F): 2.31 states/eV/cell
* ΔE to the lowest computed polymorph: 0.0 meV per atom

a b c (Å): 3.753 3.770 7.540
angles (deg): 90.00 90.00 90.00
Space group Pmm2 (No. 25)
Unique sites:
Tl: 0.000 0.000 0.000 x1
Tl: 0.500 0.500 0.373 x1
Rh: 0.500 0.500 0.024 x1
Br: 0.000 0.000 0.580 x1